This record from OQMD via LeMat-Bulk describes a relaxed structure of DyBO3. The functional is PBE.

Calculated values
* volume: 10.109 Å³ per atom
* symmetry: P-1 (2)
* density: 7.3 g/cm3
* total moment: 0.0 μB/cell
* electronic total energy: -498.32 eV/cell

a b c (Å): 7.1804 8.9625 9.7895
angles (deg): 81.39 85.58 77.11
Fractional positions:
O: 0.8347 0.6350 0.6956
O: 0.5716 0.1272 0.9135
O: 0.1534 0.0913 0.9636
O: 0.2468 0.6161 0.7346
O: 0.4702 0.3127 0.0731
O: 0.2466 0.1154 0.2368
O: 0.4337 0.3694 0.5834
O: 0.4330 0.5959 0.1489
O: 0.0567 0.6795 0.1286
O: 0.2732 0.3229 0.8722
O: 0.4077 0.8159 0.6323
O: 0.4519 0.0956 0.6266
O: 0.9433 0.3205 0.8714
O: 0.5298 0.6873 0.9269
O: 0.9366 0.8160 0.3691
O: 0.5663 0.6306 0.4166
O: 0.0634 0.1840 0.6309
O: 0.7268 0.6771 0.1278
O: 0.8495 0.4120 0.5358
O: 0.2693 0.8172 0.3641
O: 0.5670 0.4041 0.8511
O: 0.9187 0.6641 0.9196
O: 0.8450 0.1295 0.1938
O: 0.5481 0.9044 0.3734
O: 0.0813 0.3359 0.0804
O: 0.1505 0.5880 0.4642
O: 0.1653 0.3650 0.3044
O: 0.4284 0.8728 0.0865
O: 0.5923 0.1841 0.3677
O: 0.0803 0.8391 0.5728
O: 0.8466 0.9087 0.0364
O: 0.7307 0.1828 0.6359
O: 0.7532 0.3839 0.2654
O: 0.7534 0.8846 0.7632
O: 0.1550 0.8705 0.8062
O: 0.9197 0.1609 0.4272
Dy: 0.5671 0.5591 0.6578
Dy: 0.7388 0.4393 0.0290
Dy: 0.4251 0.9447 0.8438
Dy: 0.9002 0.5653 0.3299
Dy: 0.2612 0.5607 0.9710
Dy: 0.2497 0.0456 0.4780
Dy: 0.0992 0.9306 0.1626
Dy: 0.5749 0.0553 0.1562
Dy: 0.4329 0.4409 0.3422
Dy: 0.7503 0.9544 0.5220
Dy: 0.0998 0.4347 0.6701
Dy: 0.9008 0.0694 0.8374
B: 0.8923 0.2471 0.5523
B: 0.5227 0.7154 0.0765
B: 0.4773 0.2846 0.9235
B: 0.5330 0.2215 0.6133
B: 0.8840 0.7427 0.0521
B: 0.7808 0.2172 0.3080
B: 0.4670 0.7785 0.3867
B: 0.8323 0.7291 0.7945
B: 0.1677 0.2709 0.2055
B: 0.2192 0.7828 0.6919
B: 0.1160 0.2573 0.9479
B: 0.1077 0.7529 0.4477

This record from OQMD via LeMat-Bulk describes a relaxed structure of Dy2BO4. The functional is PBE.

Calculated values
* volume: 11.233 Å³ per atom
* symmetry: Fd-3m (227)
* density: 8.4 g/cm3
* total moment: 0.0 μB/cell
* electronic total energy: -108.20 eV/cell

a b c (Å): 6.0586 6.0586 6.0586
angles (deg): 120.00 90.01 120.00
Fractional positions:
Dy: 0.8750 0.2500 0.6250
Dy: 0.3750 0.2500 0.6250
Dy: 0.3750 0.7500 0.6250
Dy: 0.3750 0.7500 0.1250
O: 0.6463 0.7073 0.3536
O: 0.6464 0.2927 0.3537
O: 0.1036 0.2073 0.8963
O: 0.0610 0.7073 0.3537
O: 0.1037 0.7927 0.8964
O: 0.6463 0.2927 0.9391
O: 0.6891 0.7927 0.8963
O: 0.1037 0.2073 0.3110
B: 0.7500 0.5000 0.2500
B: 0.0000 0.0000 0.0000

This record from OQMD via LeMat-Bulk describes a relaxed structure of DyBO3. The functional is PBE.

Calculated values
* volume: 10.966 Å³ per atom
* symmetry: P-1 (2)
* density: 6.7 g/cm3
* total moment: 0.0 μB/cell
* electronic total energy: -166.63 eV/cell

a b c (Å): 6.1020 6.3517 6.3553
angles (deg): 92.40 108.06 108.54
Fractional positions:
O: 0.9539 0.7636 0.4796
O: 0.5912 0.8690 0.6442
O: 0.4088 0.1310 0.3558
O: 0.4685 0.4782 0.2290
O: 0.1212 0.6611 0.2033
O: 0.3476 0.7824 0.8764
O: 0.6524 0.2176 0.1236
O: 0.8788 0.3389 0.7967
O: 0.1297 0.1161 0.8731
O: 0.8703 0.8839 0.1269
O: 0.5315 0.5218 0.7710
O: 0.0461 0.2364 0.5204
B: 0.0108 0.2313 0.7199
B: 0.4765 0.7129 0.7608
B: 0.5235 0.2871 0.2392
B: 0.9892 0.7687 0.2801
Dy: 0.4431 0.1536 0.7278
Dy: 0.0608 0.2800 0.1814
Dy: 0.5569 0.8464 0.2722
Dy: 0.9392 0.7200 0.8186

This record from OQMD via LeMat-Bulk describes a relaxed structure of Dy2B2O5. The functional is PBE.

Calculated values
* polymorph energy (0 for the lowest one): 1109.3 meV per atom
* volume: 13.106 Å³ per atom
* symmetry: P4/mmm (123)
* density: 6.0 g/cm3
* total moment: 0.0 μB/cell

a b c (Å): 8.8185 3.6573 3.6573
angles (deg): 90.00 90.00 90.00
Fractional positions:
O: 0.1260 0.0000 0.5000
O: 0.5000 0.5000 0.5000
O: 0.8740 0.5000 0.0000
O: 0.8740 0.0000 0.5000
O: 0.1260 0.5000 0.0000
Dy: 0.2513 0.5000 0.5000
Dy: 0.7487 0.5000 0.5000
B: 0.0000 0.0000 0.0000
B: 0.5000 0.0000 0.0000

This record from OQMD via LeMat-Bulk describes a relaxed structure of Dy4B6O15. The functional is PBE.

Calculated values
* volume: 9.460 Å³ per atom
* symmetry: C2/c (15)
* density: 6.7 g/cm3
* total moment: 0.0 μB/cell
* electronic total energy: -413.26 eV/cell

a b c (Å): 4.3599 6.2148 18.7624
angles (deg): 96.09 90.00 110.53
Fractional positions:
O: 0.8091 0.9704 0.3788
O: 0.8387 0.0296 0.1212
O: 0.6865 0.6365 0.2960
O: 0.4945 0.5815 0.4502
O: 0.8676 0.0000 0.2500
O: 0.6639 0.1298 0.6970
O: 0.5341 0.8702 0.8030
O: 0.5449 0.8328 0.5699
O: 0.0500 0.3635 0.2040
O: 0.5580 0.6408 0.1393
O: 0.4551 0.1672 0.4301
O: 0.9500 0.6365 0.7960
O: 0.2503 0.2553 0.9791
O: 0.0051 0.2553 0.4791
O: 0.9130 0.4185 0.0498
O: 0.7497 0.7447 0.0209
O: 0.1909 0.0296 0.6212
O: 0.1613 0.9704 0.8788
O: 0.0828 0.6408 0.6393
O: 0.3361 0.8702 0.3030
O: 0.7121 0.1672 0.9301
O: 0.0870 0.5815 0.9502
O: 0.2879 0.8328 0.0699
O: 0.3135 0.3635 0.7040
O: 0.9949 0.7447 0.5209
O: 0.5055 0.4185 0.5498
O: 0.9172 0.3592 0.3607
O: 0.1324 0.0000 0.7500
O: 0.4659 0.1298 0.1970
O: 0.4420 0.3592 0.8607
B: 0.7967 0.1357 0.1947
B: 0.9788 0.3380 0.9745
B: 0.8005 0.1923 0.4126
B: 0.2033 0.8643 0.8053
B: 0.6409 0.6620 0.5255
B: 0.3391 0.1357 0.6947
B: 0.6609 0.8643 0.3053
B: 0.3592 0.3380 0.4745
B: 0.6082 0.8077 0.0874
B: 0.3918 0.1923 0.9126
B: 0.0212 0.6620 0.0255
B: 0.1995 0.8077 0.5874
Dy: 0.9247 0.2746 0.8040
Dy: 0.0753 0.7254 0.1960
Dy: 0.6620 0.7325 0.9010
Dy: 0.6500 0.7254 0.6960
Dy: 0.0705 0.7325 0.4010
Dy: 0.9295 0.2675 0.5990
Dy: 0.3380 0.2675 0.0990
Dy: 0.3500 0.2746 0.3040

This record from OQMD via LeMat-Bulk describes a relaxed structure of Dy2B2O5. The functional is PBE.

Calculated values
* polymorph energy (0 for the lowest one): 0.0 meV per atom
* volume: 9.037 Å³ per atom
* symmetry: P4/mmm (123)
* density: 8.7 g/cm3
* total moment: 0.0 μB/cell

a b c (Å): 6.6892 3.4870 3.4870
angles (deg): 90.00 90.00 90.00
Fractional positions:
Dy: 0.0000 0.0000 0.0000
Dy: 0.5000 0.0000 0.0000
B: 0.7466 0.5000 0.5000
B: 0.2534 0.5000 0.5000
O: 0.2449 0.0000 0.5000
O: 0.7551 0.5000 0.0000
O: 0.2449 0.5000 0.0000
O: 0.7551 0.0000 0.5000
O: 0.5000 0.5000 0.5000

This record from OQMD via LeMat-Bulk describes a relaxed structure of DyBO3. The functional is PBE.

Calculated values
* volume: 14.745 Å³ per atom
* symmetry: P6_3/mmc (194)
* density: 5.0 g/cm3
* total moment: 0.0 μB/cell
* electronic total energy: -82.19 eV/cell

a b c (Å): 5.1859 5.1859 6.3307
angles (deg): 90.00 90.00 120.00
Fractional positions:
Dy: 0.0000 0.0000 0.0000
Dy: 0.0000 0.0000 0.5000
B: 0.6667 0.3333 0.7500
B: 0.3333 0.6667 0.2500
O: 0.1799 0.3599 0.2500
O: 0.6401 0.8201 0.2500
O: 0.8201 0.1799 0.7500
O: 0.3599 0.1799 0.7500
O: 0.8201 0.6401 0.7500
O: 0.1799 0.8201 0.2500

This record from OQMD via LeMat-Bulk describes a relaxed structure of DyBPO. The functional is PBE.

Calculated values
* polymorph energy (0 for the lowest one): 837.0 meV per atom
* volume: 16.732 Å³ per atom
* symmetry: P4/nmm (129)
* density: 5.5 g/cm3
* total moment: 0.0 μB/cell

a b c (Å): 5.6496 5.6496 4.1938
angles (deg): 90.00 90.00 90.00
Fractional positions:
Dy: 0.0000 0.0000 0.5000
Dy: 0.5000 0.5000 0.5000
O: 0.0000 0.0000 0.0000
O: 0.5000 0.5000 0.0000
B: 0.5000 0.0000 0.6441
B: 0.0000 0.5000 0.3559
P: 0.5000 0.0000 0.2144
P: 0.0000 0.5000 0.7856

This record from OQMD via LeMat-Bulk describes a relaxed structure of DyBPO. The functional is PBE.

Calculated values
* polymorph energy (0 for the lowest one): 492.3 meV per atom
* volume: 14.783 Å³ per atom
* symmetry: Pmc2_1 (26)
* density: 6.2 g/cm3
* total moment: 0.0 μB/cell

a b c (Å): 3.7668 5.3861 5.8290
angles (deg): 90.00 90.00 90.00
Fractional positions:
Dy: 0.5000 0.2212 0.5942
Dy: 0.5000 0.7788 0.0942
B: 0.0000 0.6853 0.4413
B: 0.0000 0.3147 0.9413
P: 0.0000 0.3775 0.2678
P: 0.0000 0.6225 0.7678
O: 0.5000 0.1527 0.9507
O: 0.5000 0.8473 0.4507

This record from OQMD via LeMat-Bulk describes a relaxed structure of DyBPO. The functional is PBE.

Calculated values
* polymorph energy (0 for the lowest one): 0.0 meV per atom
* volume: 13.373 Å³ per atom
* symmetry: P4/nmm (129)
* density: 6.8 g/cm3
* total moment: 0.0 μB/cell

a b c (Å): 3.9032 3.9032 7.0222
angles (deg): 90.00 90.00 90.00
Fractional positions:
B: 0.0000 0.0000 0.5000
B: 0.5000 0.5000 0.5000
Dy: 0.0000 0.5000 0.1585
Dy: 0.5000 0.0000 0.8415
P: 0.0000 0.5000 0.6007
P: 0.5000 0.0000 0.3993
O: 0.0000 0.0000 0.0000
O: 0.5000 0.5000 0.0000

This record from OQMD via LeMat-Bulk describes a relaxed structure of DyBPO. The functional is PBE.

Calculated values
* polymorph energy (0 for the lowest one): 100.0 meV per atom
* volume: 15.935 Å³ per atom
* symmetry: Pmc2_1 (26)
* density: 5.7 g/cm3
* total moment: 0.0 μB/cell

a b c (Å): 3.3832 6.6270 5.6858
angles (deg): 90.00 90.00 90.00
Fractional positions:
P: 0.0000 0.7021 0.9442
P: 0.0000 0.2979 0.4442
O: 0.5000 0.0667 0.9308
O: 0.5000 0.9333 0.4308
B: 0.5000 0.8587 0.9325
B: 0.5000 0.1413 0.4325
Dy: 0.0000 0.7205 0.4465
Dy: 0.0000 0.2795 0.9465

This record from OQMD via LeMat-Bulk describes a relaxed structure of Dy2B6Os. The functional is PBE.

Calculated values
* volume: 10.695 Å³ per atom
* symmetry: Pbam (55)
* density: 10.0 g/cm3
* total moment: 0.0 μB/cell
* electronic total energy: -265.61 eV/cell

a b c (Å): 9.1477 11.5178 3.6543
angles (deg): 90.00 90.00 90.00
Fractional positions:
B: 0.0536 0.0671 0.5000
B: 0.2474 0.0799 0.5000
B: 0.3680 0.8144 0.5000
B: 0.1103 0.4695 0.5000
B: 0.9834 0.2131 0.5000
B: 0.5536 0.4329 0.5000
B: 0.0166 0.7869 0.5000
B: 0.7526 0.9201 0.5000
B: 0.5166 0.7131 0.5000
B: 0.6320 0.1856 0.5000
B: 0.9464 0.9329 0.5000
B: 0.8897 0.5305 0.5000
B: 0.2906 0.2331 0.5000
B: 0.2094 0.7331 0.5000
B: 0.4834 0.2869 0.5000
B: 0.8680 0.6856 0.5000
B: 0.3897 0.9695 0.5000
B: 0.2526 0.5799 0.5000
B: 0.4464 0.5671 0.5000
B: 0.7094 0.7669 0.5000
B: 0.7906 0.2669 0.5000
B: 0.1320 0.3144 0.5000
B: 0.6103 0.0305 0.5000
B: 0.7474 0.4201 0.5000
Dy: 0.0561 0.6267 0.0000
Dy: 0.3222 0.4137 0.0000
Dy: 0.4439 0.1267 0.0000
Dy: 0.5561 0.8733 0.0000
Dy: 0.6778 0.5863 0.0000
Dy: 0.8222 0.0863 0.0000
Dy: 0.1778 0.9137 0.0000
Dy: 0.9439 0.3733 0.0000
Os: 0.6373 0.3216 0.0000
Os: 0.3627 0.6784 0.0000
Os: 0.8627 0.8216 0.0000
Os: 0.1373 0.1784 0.0000

Please write out number 2 again, unchanged.
This record from OQMD via LeMat-Bulk describes a relaxed structure of Dy2BO4. The functional is PBE.

Calculated values
* volume: 11.233 Å³ per atom
* symmetry: Fd-3m (227)
* density: 8.4 g/cm3
* total moment: 0.0 μB/cell
* electronic total energy: -108.20 eV/cell

a b c (Å): 6.0586 6.0586 6.0586
angles (deg): 120.00 90.01 120.00
Fractional positions:
Dy: 0.8750 0.2500 0.6250
Dy: 0.3750 0.2500 0.6250
Dy: 0.3750 0.7500 0.6250
Dy: 0.3750 0.7500 0.1250
O: 0.6463 0.7073 0.3536
O: 0.6464 0.2927 0.3537
O: 0.1036 0.2073 0.8963
O: 0.0610 0.7073 0.3537
O: 0.1037 0.7927 0.8964
O: 0.6463 0.2927 0.9391
O: 0.6891 0.7927 0.8963
O: 0.1037 0.2073 0.3110
B: 0.7500 0.5000 0.2500
B: 0.0000 0.0000 0.0000

> What is the total moment in the eleventh record?

0.0 μB/cell

> Among the records above, which one has the lowest volume?

number 6

> Look up the total moment of the second one.

0.0 μB/cell